18
Lattice="-2.801 -4.353 -0.269 1.757 1.672 4.581 -8.013 5.082 1.218" Properties=species:S:1:pos:R:3 comment="PuMnRhO6 (GGA+U, relaxed)" rho_g_cm3=7.43 total_magnetization_mub_per_atom=0.667 final_energy_ev_per_atom=-8.3066 n_ef_per_ev_cell=4.88 volume_a3_per_atom=12.37 pbc="T T T"
O -5.754 1.432 3.598
O -1.730 -1.086 3.008
Rh -1.766 0.935 3.269
Pu -3.285 -1.074 1.652
O -7.251 -0.560 2.058
O -3.044 0.684 4.836
O -1.806 2.962 3.472
Mn -4.007 2.541 0.609
O -3.303 0.970 1.932
Mn 0.000 0.000 0.000
O -6.014 1.718 0.694
O -0.458 1.224 1.733
O -7.328 3.488 2.522
O -0.253 0.854 4.631
Rh -7.292 1.467 2.261
O -8.599 1.177 3.797
Pu -5.772 3.476 3.878
O -8.805 1.548 0.899